[1]
Here is crystalline ErSc5Co4 at its relaxed geometry from the Alexandria database. Energies are from PBE.

Unit cell a=3.1409 b=3.1409 c=17.8933 alpha=90.00 beta=90.00 gamma=90.00
Last column: magnetic moment on the atom in μB.
Atoms (fractional coordinates):
1 Sc 0.5000 0.5000 0.6737  -0.13
2 Sc 0.5000 0.5000 0.3263  -0.13
3 Sc 0.5000 0.5000 0.8464  -0.10
4 Sc 0.5000 0.5000 0.1536  -0.10
5 Sc 0.5000 0.5000 0.5000  -0.13
6 Co 0.0000 0.0000 0.4125  0.48
7 Co 0.0000 0.0000 0.5875  0.48
8 Co 0.0000 0.0000 0.7640  0.56
9 Co 0.0000 0.0000 0.2360  0.56
10 Er 0.0000 0.0000 0.0000  0.00

Calculated values
raw total energy	-67.41	eV/f.u.
energy of formation	-277	meV per atom
space group	No. 123
crystal system	tetragonal
DOS at the Fermi energy	0.493	states/eV/atom

---

[2]
Here is crystalline ErScCoTc at its relaxed geometry from the Alexandria database. Energies are from PBE.

Unit cell a=4.6231 b=4.6231 c=4.6231 alpha=60.00 beta=60.00 gamma=60.00
Last column: magnetic moment on the atom in μB.
Atoms (fractional coordinates):
1 Er 0.0000 0.0000 0.0000  -0.03
2 Tc 0.7500 0.7500 0.7500  0.13
3 Sc 0.5000 0.5000 0.5000  -0.05
4 Co 0.2500 0.2500 0.2500  0.34

Calculated values
raw total energy	-28.70	eV/f.u.
energy of formation	-84	meV per atom
space group	No. 216
crystal system	cubic
DOS at the Fermi energy	1.380	states/eV/atom

---

[3]
Here is crystalline ErScTlCo at its relaxed geometry from the Alexandria database. Energies are from PBE.

Unit cell a=3.2600 b=3.2600 c=7.8585 alpha=90.00 beta=90.00 gamma=90.00
Atoms (fractional coordinates):
1 Er 0.5000 0.5000 0.7702
2 Co 0.0000 0.0000 0.5533
3 Tl 0.0000 0.0000 0.0868
4 Sc 0.5000 0.5000 0.3743

Calculated values
raw total energy	-21.54	eV/f.u.
energy of formation	-292	meV per atom
space group	No. 99
crystal system	tetragonal
energy above the lowest structure with this stoichiometry	0	meV per atom
DOS at the Fermi energy	0.554	states/eV/atom

---

[4]
Here is crystalline ErScTlCo at its relaxed geometry from the Alexandria database. Energies are from PBE.

Unit cell a=4.9344 b=4.9344 c=4.9344 alpha=60.00 beta=60.00 gamma=60.00
Last column: magnetic moment on the atom in μB.
Atoms (fractional coordinates):
1 Co 0.2500 0.2500 0.2500  1.38
2 Er 0.5000 0.5000 0.5000  -0.10
3 Tl 0.7500 0.7500 0.7500  0.04
4 Sc 0.0000 0.0000 0.0000  -0.14

Calculated values
raw total energy	-20.91	eV/f.u.
energy of formation	-137	meV per atom
space group	No. 216
crystal system	cubic
energy above the lowest structure with this stoichiometry	155	meV per atom
DOS at the Fermi energy	0.749	states/eV/atom

---

[5]
Here is crystalline Er5Co2Se2 at its relaxed geometry from the Alexandria database. Energies are from PBE.

Unit cell a=7.4043 b=7.3359 c=8.2790 alpha=90.00 beta=63.44 gamma=90.00
Atoms (fractional coordinates):
1 Er 0.7124 0.3397 0.2461
2 Er 0.7876 0.8397 0.7539
3 Er 0.5415 0.8397 0.2461
4 Er 0.0415 0.6603 0.2461
5 Er 0.2124 0.1603 0.2461
6 Er 0.9585 0.3397 0.7539
7 Er 0.2876 0.6603 0.7539
8 Er 0.0000 0.0000 0.0000
9 Er 0.4585 0.1603 0.7539
10 Er 0.5000 0.5000 0.0000
11 Co 0.1302 0.3728 0.0000
12 Co 0.8698 0.6272 0.0000
13 Co 0.6302 0.1272 0.0000
14 Co 0.3698 0.8728 0.0000
15 Se 0.7915 0.0000 0.4171
16 Se 0.7085 0.5000 0.5829
17 Se 0.2085 0.0000 0.5829
18 Se 0.2915 0.5000 0.4171

Calculated values
raw total energy	-51.73	eV/f.u.
raw formation energy	-7.7	eV per formula unit
space group	No. 64
crystal system	orthorhombic
DOS at the Fermi energy	0.932	states/eV/atom

---

[6]
Here is crystalline Er6CoSe5 at its relaxed geometry from the Alexandria database. Energies are from PBE.

Unit cell a=7.0177 b=7.0553 c=7.0470 alpha=59.96 beta=80.26 gamma=70.25
Atoms (fractional coordinates):
1 Se 0.5000 0.1784 0.6431
2 Se 0.0000 0.6648 0.6703
3 Se 0.5000 0.8216 0.3569
4 Se 0.5000 0.5000 0.0000
5 Se 0.0000 0.3352 0.3297
6 Er 0.2330 0.2238 0.0000
7 Er 0.7722 0.0744 0.3024
8 Er 0.2278 0.6232 0.3024
9 Er 0.7670 0.7762 0.0000
10 Er 0.7722 0.3768 0.6976
11 Er 0.2278 0.9256 0.6976
12 Co 0.0000 0.0000 0.0000

Calculated values
raw total energy	-69.94	eV/f.u.
raw formation energy	-18.0	eV per formula unit
space group	No. 12
crystal system	monoclinic
DOS at the Fermi energy	0.640	states/eV/atom

---

[7]
Here is crystalline Er2CoSe at its relaxed geometry from the Alexandria database. Energies are from PBE.

Unit cell a=3.8255 b=3.8255 c=7.3207 alpha=74.85 beta=74.85 gamma=60.00
Atoms (fractional coordinates):
1 Se 0.5000 0.5000 0.5000
2 Er 0.7415 0.7415 0.7756
3 Er 0.2585 0.2585 0.2244
4 Co 0.0000 0.0000 0.0000

Calculated values
raw total energy	-23.09	eV/f.u.
raw formation energy	-3.4	eV per formula unit
space group	No. 166
crystal system	trigonal
energy above the lowest structure with this stoichiometry	132	meV per atom
DOS at the Fermi energy	0.567	states/eV/atom

---

[8]
Here is crystalline Er2CoSe at its relaxed geometry from the Alexandria database. Energies are from PBE.

Unit cell a=3.4298 b=3.4298 c=7.0072 alpha=90.00 beta=90.00 gamma=90.00
Last column: magnetic moment on the atom in μB.
Atoms (fractional coordinates):
1 Se 0.5000 0.5000 0.5000  0.00
2 Er 0.0000 0.0000 0.2304  -0.09
3 Er 0.0000 0.0000 0.7696  -0.09
4 Co 0.5000 0.5000 0.0000  0.81

Calculated values
raw total energy	-22.80	eV/f.u.
raw formation energy	-3.1	eV per formula unit
space group	No. 123
crystal system	tetragonal
energy above the lowest structure with this stoichiometry	202	meV per atom
DOS at the Fermi energy	0.468	states/eV/atom